No. 1
## HgRu2 (meta-GGA SCAN)

Data for a crystal of HgRu2 relaxed with PBEsol.

```
3
Lattice="-1.397 1.397 5.932 1.397 -1.397 5.932 1.397 1.397 -5.932" Properties=species:S:1:pos:R:3 pbc="T T T"
Hg 0.000 0.000 0.000
Ru 0.000 0.000 3.759
Ru 0.000 0.000 8.105
```

Energy of formation   315 meV per atom
Symmetry   I4/mmm



No. 2
## SmEuZn2 (meta-GGA SCAN)

Data for a crystal of SmEuZn2 relaxed with PBEsol.

```
4
Lattice="0.000 3.604 3.604 3.604 0.000 3.604 3.604 3.604 0.000" Properties=species:S:1:pos:R:3 pbc="T T T"
Sm 0.000 0.000 0.000
Eu 3.604 3.604 3.604
Zn 1.802 1.802 1.802
Zn 5.407 5.407 5.407
```

Energy of formation   -329 meV per atom
Symmetry   Fm-3m



No. 3
## BeCrAs3 (meta-GGA SCAN)

Data for a crystal of BeCrAs3 relaxed with PBEsol.

```
5
Lattice="4.565 0.000 0.000 0.000 4.565 0.000 0.000 0.000 4.565" Properties=species:S:1:pos:R:3 pbc="T T T"
Be 0.000 0.000 0.000
Cr 2.283 2.283 2.283
As 0.000 2.283 2.283
As 2.283 0.000 2.283
As 2.283 2.283 0.000
```

Energy of formation   828 meV per atom
Symmetry   Pm-3m



No. 4
## NdTeF (meta-GGA SCAN)

Data for a crystal of NdTeF relaxed with PBEsol.

```
6
Lattice="4.149 0.000 0.000 0.000 4.149 0.000 0.000 0.000 7.503" Properties=species:S:1:pos:R:3 pbc="T T T"
Nd 1.037 1.037 1.479
Nd 3.112 3.112 6.024
Te 1.037 1.037 4.796
Te 3.112 3.112 2.707
F 1.037 3.112 0.000
F 3.112 1.037 0.000
```

Uncorrected formation energy   -2.84 eV per atom
Symmetry   P4/nmm



No. 5
## Ag3As (meta-GGA SCAN)

Data for a crystal of Ag3As relaxed with PBEsol.

```
16
Lattice="7.320 0.000 0.000 0.000 7.706 0.000 0.000 0.000 5.104" Properties=species:S:1:pos:R:3 pbc="T T T"
Ag 0.371 1.926 0.507
Ag 1.591 0.486 2.721
Ag 1.591 3.367 2.721
Ag 2.069 4.339 0.169
Ag 2.069 7.219 0.169
Ag 3.289 5.779 3.059
Ag 4.032 1.926 2.045
Ag 5.252 0.486 4.935
Ag 5.252 3.367 4.935
Ag 5.729 4.339 2.383
Ag 5.729 7.219 2.383
Ag 6.949 5.779 4.597
As 0.770 5.779 2.045
As 2.890 1.926 4.597
As 4.431 5.779 0.508
As 6.550 1.926 3.060
```

Energy of formation   87 meV per atom
Symmetry   Pnma



No. 6
## Ta2NbPdO (meta-GGA SCAN)

Data for a crystal of Ta2NbPdO relaxed with PBEsol.

```
5
Lattice="4.170 0.000 0.000 0.000 4.170 0.000 0.000 0.000 4.214" Properties=species:S:1:pos:R:3 pbc="T T T"
Ta 0.000 2.085 0.000
Ta 2.085 0.000 0.000
Nb 0.000 0.000 2.107
Pd 2.085 2.085 2.107
O 0.000 0.000 0.000
```

Uncorrected formation energy   -0.68 eV per atom
Symmetry   P4/mmm



No. 7
## FeSb3 (meta-GGA SCAN)

Data for a crystal of FeSb3 relaxed with PBEsol.

```
4
Lattice="5.052 0.000 0.000 0.000 5.052 0.000 0.000 0.000 3.502" Properties=species:S:1:pos:R:3 pbc="T T T"
Fe 0.000 0.000 0.000
Sb 0.000 2.526 1.751
Sb 2.526 0.000 1.751
Sb 2.526 2.526 0.000
```

Offset from the most stable computed form   557 meV per atom
Uncorrected formation energy   0.56 eV per atom
Symmetry   P4/mmm



No. 8
## LaAl3Pd2 (meta-GGA SCAN)

Data for a crystal of LaAl3Pd2 relaxed with PBEsol.

```
6
Lattice="5.478 0.000 0.000 -2.739 4.744 0.000 0.000 0.000 4.200" Properties=species:S:1:pos:R:3 pbc="T T T"
La 0.000 0.000 0.000
Al -1.370 2.372 2.100
Al 2.739 0.000 2.100
Al 1.370 2.372 2.100
Pd 0.000 3.163 0.000
Pd 2.739 1.581 0.000
```

Energy of formation   -961 meV per atom
Symmetry   P6/mmm



No. 9
## La2SbTe (meta-GGA SCAN)

Data for a crystal of La2SbTe relaxed with PBEsol.

```
4
Lattice="4.538 0.000 0.000 0.000 4.538 0.000 0.000 0.000 6.406" Properties=species:S:1:pos:R:3 pbc="T T T"
La 0.000 0.000 0.000
La 2.269 2.269 3.203
Sb 0.000 0.000 3.203
Te 2.269 2.269 0.000
```

Offset from the most stable computed form   6 meV per atom
Uncorrected formation energy   -1.63 eV per atom
Symmetry   P4/mmm



No. 10
## Be2TcRu2 (meta-GGA SCAN)

Data for a crystal of Be2TcRu2 relaxed with PBEsol.

```
10
Lattice="6.217 0.000 0.000 0.000 6.217 0.000 0.000 0.000 2.851" Properties=species:S:1:pos:R:3 pbc="T T T"
Be 0.788 2.320 0.000
Be 2.320 5.429 0.000
Be 3.897 0.788 0.000
Be 5.429 3.897 0.000
Tc 0.000 0.000 0.000
Tc 3.109 3.109 0.000
Ru 1.031 4.139 1.426
Ru 2.078 1.031 1.426
Ru 4.139 5.187 1.426
Ru 5.187 2.078 1.426
```

Energy of formation   -307 meV per atom
Symmetry   P4/mbm



No. 11
## Rb2NbCl (meta-GGA SCAN)

Data for a crystal of Rb2NbCl relaxed with PBEsol.

```
8
Lattice="-6.297 6.297 2.429 6.297 -6.297 2.429 6.297 6.297 -2.429" Properties=species:S:1:pos:R:3 pbc="T T T"
Rb -1.046 3.149 0.607
Rb 3.149 5.251 1.822
Rb 1.046 9.446 0.607
Rb -3.149 7.343 1.822
Nb 6.297 0.000 1.214
Nb 0.000 0.000 2.429
Cl 0.000 0.000 0.000
Cl 0.000 6.297 1.214
```

Uncorrected formation energy   0.15 eV per atom
Symmetry   I-42d



No. 12
## Au2SeCl (meta-GGA SCAN)

Data for a crystal of Au2SeCl relaxed with PBEsol.

```
4
Lattice="-1.766 3.298 3.701 1.766 -3.298 3.701 1.766 3.298 -3.701" Properties=species:S:1:pos:R:3 pbc="T T T"
Au 0.000 0.000 1.828
Au 0.000 0.000 5.573
Se 1.766 0.000 0.000
Cl 0.000 3.298 0.000
```

Offset from the most stable computed form   10 meV per atom
Uncorrected formation energy   0.15 eV per atom
Symmetry   Immm



Short version: raw total energy = -45.6246, -31.6254, -15.8344, -30.9604, -28.4860, -41.7384, -31.9175, -22.9458, -41.8093, -22.9908, -20.5005, -41.4466 eV per atom, in the order given.
Short version: V = 46.33, 93.65, 95.14, 129.20, 287.92, 73.29, 89.37, 109.18, 131.94, 110.22, 385.26, 86.21 Å³ per cell, in the order given.